Entry 1:
Computed, not measured: an optimized crystal structure of CaTaTiAu2 at the GGA-PBEsol level of DFT.

Lattice parameters (Å, degrees): 5.144 5.144 4.587 90.00 90.00 90.00
Atoms (fractional coordinates):
Ca 0.000 0.000 0.000
Ta 0.500 0.500 0.500
Ti 0.500 0.500 0.000
Au 0.000 0.500 0.500
Au 0.500 0.000 0.500

V: 121 Å³ per cell
ΔE_f: 41.2 kJ per mole of atoms

***

Entry 2:
Computed, not measured: an optimized crystal structure of Ca2TcAu at the GGA-PBEsol level of DFT.

Lattice parameters (Å, degrees): 3.321 3.321 27.186 90.00 90.00 120.00
Atoms (fractional coordinates):
Ca 0.000 0.000 0.248
Ca 0.000 0.000 0.752
Ca 0.333 0.667 0.419
Ca 0.333 0.667 0.914
Ca 0.667 0.333 0.086
Ca 0.667 0.333 0.581
Tc 0.000 0.000 0.500
Tc 0.333 0.667 0.167
Tc 0.667 0.333 0.833
Au 0.000 0.000 0.000
Au 0.333 0.667 0.667
Au 0.667 0.333 0.333

V: 260 Å³ per cell
ΔE_f: 36.6 kJ per mole of atoms
Offset from the most stable computed form: 57.3 meV per atom

***

Entry 3:
Computed, not measured: an optimized crystal structure of Ca2TcAu at the GGA-PBEsol level of DFT.

Lattice parameters (Å, degrees): 6.974 6.974 6.974 90.00 90.00 90.00
Atoms (fractional coordinates):
Ca 0.250 0.250 0.250
Ca 0.250 0.250 0.750
Ca 0.250 0.750 0.250
Ca 0.250 0.750 0.750
Ca 0.750 0.250 0.250
Ca 0.750 0.250 0.750
Ca 0.750 0.750 0.250
Ca 0.750 0.750 0.750
Tc 0.000 0.000 0.000
Tc 0.000 0.500 0.500
Tc 0.500 0.000 0.500
Tc 0.500 0.500 0.000
Au 0.000 0.000 0.500
Au 0.000 0.500 0.000
Au 0.500 0.000 0.000
Au 0.500 0.500 0.500

V: 339 Å³ per cell
ΔE_f: 31.0 kJ per mole of atoms
Offset from the most stable computed form: 0.0 meV per atom

***

Entry 4:
Computed, not measured: an optimized crystal structure of CaTc2Au at the GGA-PBEsol level of DFT.

Lattice parameters (Å, degrees): 3.831 3.831 9.296 90.00 90.00 90.00
Atoms (fractional coordinates):
Ca 0.000 0.000 0.000
Ca 0.500 0.500 0.500
Tc 0.000 0.500 0.250
Tc 0.000 0.500 0.750
Tc 0.500 0.000 0.250
Tc 0.500 0.000 0.750
Au 0.000 0.000 0.500
Au 0.500 0.500 0.000

V: 136 Å³ per cell
ΔE_f: 52.3 kJ per mole of atoms
Offset from the most stable computed form: 192.1 meV per atom

***

Entry 5:
Computed, not measured: an optimized crystal structure of CaTc2Au at the GGA-PBEsol level of DFT.

Lattice parameters (Å, degrees): 3.784 4.642 8.010 90.00 90.00 90.00
Atoms (fractional coordinates):
Ca 0.000 0.000 0.000
Ca 0.500 0.500 0.500
Tc 0.000 0.000 0.446
Tc 0.000 0.500 0.764
Tc 0.500 0.000 0.264
Tc 0.500 0.500 0.946
Au 0.000 0.500 0.227
Au 0.500 0.000 0.727

V: 141 Å³ per cell
ΔE_f: 33.7 kJ per mole of atoms
Offset from the most stable computed form: 0.0 meV per atom

***

Entry 6:
Computed, not measured: an optimized crystal structure of CaTeAu3 at the GGA-PBEsol level of DFT.

Lattice parameters (Å, degrees): 5.197 5.197 5.197 90.00 90.00 90.00
Atoms (fractional coordinates):
Ca 0.000 0.000 0.000
Te 0.500 0.500 0.500
Au 0.000 0.500 0.500
Au 0.500 0.000 0.500
Au 0.500 0.500 0.000

V: 140 Å³ per cell
Raw total energy: -0.2469 Ry/atom

***

Entry 7:
Computed, not measured: an optimized crystal structure of CaTiAu2 at the GGA-PBEsol level of DFT.

Lattice parameters (Å, degrees): 6.750 6.750 6.750 90.00 90.00 90.00
Atoms (fractional coordinates):
Ca 0.000 0.000 0.000
Ca 0.000 0.500 0.500
Ca 0.500 0.000 0.500
Ca 0.500 0.500 0.000
Ti 0.000 0.000 0.500
Ti 0.000 0.500 0.000
Ti 0.500 0.000 0.000
Ti 0.500 0.500 0.500
Au 0.250 0.250 0.250
Au 0.250 0.250 0.750
Au 0.250 0.750 0.250
Au 0.250 0.750 0.750
Au 0.750 0.250 0.250
Au 0.750 0.250 0.750
Au 0.750 0.750 0.250
Au 0.750 0.750 0.750

V: 308 Å³ per cell
ΔE_f: -34.3 kJ per mole of atoms

***

Entry 8:
Computed, not measured: an optimized crystal structure of CaTlAu at the GGA-PBEsol level of DFT.

Lattice parameters (Å, degrees): 3.814 3.814 9.561 90.00 90.00 90.00
Atoms (fractional coordinates):
Ca 0.000 0.000 0.000
Ca 0.500 0.500 0.500
Tl 0.000 0.000 0.317
Tl 0.500 0.500 0.817
Au 0.000 0.000 0.660
Au 0.500 0.500 0.160

V: 139 Å³ per cell
ΔE_f: -46.4 kJ per mole of atoms

***

Entry 9:
Computed, not measured: an optimized crystal structure of CaTl2Au2 at the GGA-PBEsol level of DFT.

Lattice parameters (Å, degrees): 5.179 5.179 9.538 90.00 90.00 90.00
Atoms (fractional coordinates):
Ca 0.000 0.000 0.000
Ca 0.500 0.500 0.500
Tl 0.000 0.000 0.353
Tl 0.000 0.000 0.647
Tl 0.500 0.500 0.147
Tl 0.500 0.500 0.853
Au 0.000 0.500 0.250
Au 0.000 0.500 0.750
Au 0.500 0.000 0.250
Au 0.500 0.000 0.750

V: 256 Å³ per cell
ΔE_f: -18.8 kJ per mole of atoms

***

Entry 10:
Computed, not measured: an optimized crystal structure of CaTlAu at the GGA-PBEsol level of DFT.

Lattice parameters (Å, degrees): 4.826 4.826 3.517 90.00 90.00 120.00
Atoms (fractional coordinates):
Ca 0.000 0.000 0.000
Tl 0.333 0.667 0.500
Au 0.667 0.333 0.500

V: 71 Å³ per cell
ΔE_f: -51.4 kJ per mole of atoms

***

Entry 11:
Computed, not measured: an optimized crystal structure of Ca2TlAu at the GGA-PBEsol level of DFT.

Lattice parameters (Å, degrees): 5.210 5.210 3.674 90.00 90.00 90.00
Atoms (fractional coordinates):
Ca 0.000 0.500 0.000
Ca 0.500 0.000 0.000
Tl 0.000 0.000 0.500
Au 0.500 0.500 0.500

V: 100 Å³ per cell
ΔE_f: -55.9 kJ per mole of atoms

***

Entry 12:
Computed, not measured: an optimized crystal structure of Ca2TlAu at the GGA-PBEsol level of DFT.

Lattice parameters (Å, degrees): 7.357 7.357 7.357 90.00 90.00 90.00
Atoms (fractional coordinates):
Ca 0.250 0.250 0.250
Ca 0.250 0.250 0.750
Ca 0.250 0.750 0.250
Ca 0.250 0.750 0.750
Ca 0.750 0.250 0.250
Ca 0.750 0.250 0.750
Ca 0.750 0.750 0.250
Ca 0.750 0.750 0.750
Tl 0.000 0.000 0.000
Tl 0.000 0.500 0.500
Tl 0.500 0.000 0.500
Tl 0.500 0.500 0.000
Au 0.000 0.000 0.500
Au 0.000 0.500 0.000
Au 0.500 0.000 0.000
Au 0.500 0.500 0.500

V: 398 Å³ per cell
ΔE_f: -55.8 kJ per mole of atoms